Entry 1:
Below is a relaxed CaIn2Pb2 crystal, with properties calculated at the PBE-GGA level.

abc: 6.768 6.267 9.223
angles: 65.63 69.42 55.67
Positions (direct):
Pb1 0.579 0.841 0.371
Pb2 0.421 0.159 0.629
Pb3 0.249 0.989 0.031
In1 0.912 0.230 0.570
Ca1 0.320 0.624 0.779
Pb4 0.751 0.011 0.969
In2 0.846 0.548 0.805
In3 0.154 0.452 0.195
In4 0.088 0.770 0.430
Ca2 0.680 0.376 0.221

Spin magnetization = 0.00 μB/f.u.
Energy relative to the elements = -0.209 eV/atom
Density of states at the Fermi level = 0.425 states/eV/atom

=====

Entry 2:
Below is a relaxed TlCuPt2 crystal, with properties calculated at the PBE-GGA level.

abc: 3.950 2.925 6.565
angles: 62.94 90.00 90.00
Positions (direct):
Pt1 0.500 0.256 0.242
Cu1 0.500 0.716 0.789
Pt2 0.000 0.029 0.973
Tl1 0.000 0.499 0.496

Spin magnetization = 0.00 μB/f.u.
Energy relative to the elements = 0.056 eV/atom
Density of states at the Fermi level = 0.401 states/eV/atom

=====

Entry 3:
Below is a relaxed LiTb3Ir2 crystal, with properties calculated at the PBE-GGA level.

abc: 4.897 4.897 12.153
angles: 90.00 90.00 120.00
Positions (direct):
Tb1 0.667 0.333 0.583
Ir1 0.333 0.667 0.174
Ir2 0.000 0.000 0.000
Tb2 0.667 0.333 0.077
Tb3 0.000 0.000 0.243
Ir3 0.667 0.333 0.826
Li1 0.667 0.333 0.330
Tb4 0.333 0.667 0.923
Tb5 0.333 0.667 0.417
Ir4 0.000 0.000 0.500
Tb6 0.000 0.000 0.757
Li2 0.333 0.667 0.670

Spin magnetization = 0.00 μB/f.u.
Energy relative to the elements = -0.652 eV/atom
Density of states at the Fermi level = 0.466 states/eV/atom

=====

Entry 4:
Below is a relaxed TiW crystal, with properties calculated at the PBE-GGA level.

abc: 9.559 9.559 2.673
angles: 90.00 90.00 120.00
Positions (direct):
W1 0.472 0.854 0.750
W2 0.618 0.472 0.250
W3 0.146 0.618 0.750
Ti1 0.216 0.930 0.750
W4 0.382 0.528 0.750
Ti2 0.930 0.714 0.250
Ti3 0.714 0.784 0.750
Ti4 0.784 0.070 0.250
W5 0.528 0.146 0.250
W6 0.854 0.382 0.250
Ti5 0.286 0.216 0.250
Ti6 0.070 0.286 0.750

Spin magnetization = 0.00 μB/f.u.
Energy relative to the elements = 0.557 eV/atom
Density of states at the Fermi level = 1.157 states/eV/atom

=====

Entry 5:
Below is a relaxed MnCrCu crystal, with properties calculated at the PBE-GGA level.

abc: 4.054 4.054 2.398
angles: 90.00 90.00 120.00
Positions (direct):
Cr1 0.000 0.000 0.953
Cu1 0.333 0.667 0.333
Mn1 0.667 0.333 0.714

Spin magnetization = 0.00 μB/f.u.
Energy relative to the elements = 0.207 eV/atom
Density of states at the Fermi level = 0.566 states/eV/atom

=====

Entry 6:
Below is a relaxed LuNi4Pt crystal, with properties calculated at the PBE-GGA level.

abc: 4.853 4.853 4.853
angles: 60.00 60.00 60.00
Positions (direct):
Lu1 0.000 0.000 0.000
Ni1 0.624 0.624 0.128
Ni2 0.128 0.624 0.624
Ni3 0.624 0.128 0.624
Pt1 0.250 0.250 0.250
Ni4 0.624 0.624 0.624

Spin magnetization = 1.40 μB/f.u.
Energy relative to the elements = -0.450 eV/atom
Density of states at the Fermi level = 1.281 states/eV/atom

=====

Entry 7:
Below is a relaxed SmTm2H crystal, with properties calculated at the PBE-GGA level.

abc: 3.334 3.334 8.456
angles: 90.00 90.00 90.00
Positions (direct):
Tm1 0.000 0.000 0.190
H1 0.500 0.500 0.000
Tm2 0.000 0.000 0.810
Sm1 0.500 0.500 0.500

Spin magnetization = 0.00 μB/f.u.
Uncorrected energy = -4.11 eV/atom
Density of states at the Fermi level = 0.962 states/eV/atom

=====

Entry 8:
Below is a relaxed AcMgNb4N8 crystal, with properties calculated at the PBE-GGA level.

abc: 6.412 6.412 6.563
angles: 60.75 60.75 60.00
Positions (direct):
Ac1 0.374 0.374 0.878
Nb1 0.004 0.004 0.508
N1 0.753 0.753 0.740
Mg1 0.997 0.997 0.009
N2 0.748 0.748 0.259
N3 0.245 0.748 0.259
N4 0.230 0.230 0.310
Nb2 0.624 0.624 0.128
N5 0.236 0.818 0.711
Nb3 0.483 0.004 0.508
Nb4 0.004 0.483 0.508
N6 0.748 0.245 0.259
N7 0.236 0.236 0.711
N8 0.818 0.236 0.711

Spin magnetization = 0.00 μB/f.u.
Energy relative to the elements, uncorrected = -1093.9 kJ/mol of formula units
Density of states at the Fermi level = 0.341 states/eV/atom

=====

Q: spin magnetization of number 7 (SmTm2H)?
A: 0.00 μB/f.u.